A plane-wave DFT calculation with PBE-GGA was carried out for an optimized crystal structure of La2HgPt9.

Properties
**ρ**: 15.962 Mg/m³
**Magnetic moment**: 0.0 μB per formula unit
**ΔH_f (0 K)**: -0.62 eV per atom

a = 9.4638 Å, b = 9.4638 Å, c = 9.4638 Å
α = 33.70°, β = 33.70°, γ = 33.70°
Fractional positions:
La 0.1348 0.1348 0.1348
La 0.8652 0.8652 0.8652
Hg 0.0000 0.0000 0.0000
Pt 0.0803 0.5861 0.5861
Pt 0.3320 0.3320 0.3320
Pt 0.4139 0.4139 0.9197
Pt 0.4139 0.9197 0.4139
Pt 0.5000 0.5000 0.5000
Pt 0.5861 0.0803 0.5861
Pt 0.5861 0.5861 0.0803
Pt 0.6680 0.6680 0.6680
Pt 0.9197 0.4139 0.4139

=====

A plane-wave DFT calculation with PBE-GGA was carried out for an optimized crystal structure of La2HgPt.

Properties
**ρ**: 9.037 Mg/m³
**Magnetic moment**: 0.0 μB per formula unit
**ΔH_f (0 K)**: -0.55 eV per atom

a = 6.8636 Å, b = 6.8636 Å, c = 6.8636 Å
α = 107.07°, β = 107.07°, γ = 114.39°
Fractional positions:
La 0.0851 0.6250 0.9601
La 0.3750 0.3351 0.4601
La 0.6649 0.1250 0.0399
La 0.8750 0.9149 0.5399
Hg 0.2500 0.7500 0.5000
Hg 0.5000 0.5000 0.0000
Pt 0.0000 0.0000 0.0000
Pt 0.7500 0.2500 0.5000

=====

A plane-wave DFT calculation with PBE-GGA was carried out for an optimized crystal structure of La2HgPt.

Properties
**ρ**: 9.222 Mg/m³
**Magnetic moment**: 0.0 μB per formula unit
**ΔH_f (0 K)**: -0.64 eV per atom

a = 4.1633 Å, b = 4.7112 Å, c = 6.1825 Å
α = 90.00°, β = 90.00°, γ = 90.00°
Fractional positions:
La 0.0000 0.0000 0.0000
La 0.5000 0.5000 0.4695
Hg 0.5000 0.5000 0.9670
Pt 0.0000 0.0000 0.4784

=====

A plane-wave DFT calculation with PBE-GGA was carried out for an optimized crystal structure of La6HgPt.

Properties
**ρ**: 6.790 Mg/m³
**Magnetic moment**: 0.0 μB per formula unit
**ΔH_f (0 K)**: -0.23 eV per atom

a = 7.0118 Å, b = 7.0314 Å, c = 8.0907 Å
α = 90.24°, β = 115.27°, γ = 119.88°
Fractional positions:
La 0.0314 0.0737 0.2434
La 0.2838 0.7106 0.2429
La 0.3270 0.5397 0.7570
La 0.6730 0.4603 0.2430
La 0.7162 0.2894 0.7571
La 0.9686 0.9263 0.7566
Hg 0.5000 0.0000 0.0000
Pt 0.5000 0.5000 0.5000

=====

A plane-wave DFT calculation with PBE-GGA was carried out for an optimized crystal structure of La4HgPt.

Properties
**ρ**: 7.542 Mg/m³
**Magnetic moment**: 0.0 μB per formula unit
**ΔH_f (0 K)**: -0.48 eV per atom

a = 8.9980 Å, b = 8.9980 Å, c = 7.3336 Å
α = 108.92°, β = 108.92°, γ = 116.45°
Fractional positions:
La 0.0512 0.6064 0.8231
La 0.2066 0.2744 0.7404
La 0.2744 0.2066 0.2404
La 0.3936 0.9488 0.6769
La 0.6064 0.0512 0.3231
La 0.7256 0.7934 0.7596
La 0.7934 0.7256 0.2596
La 0.9488 0.3936 0.1769
Hg 0.3770 0.6230 0.2500
Hg 0.6230 0.3770 0.7500
Pt 0.0862 0.9138 0.7500
Pt 0.9138 0.0862 0.2500

=====

A plane-wave DFT calculation with PBE-GGA was carried out for an optimized crystal structure of LaHgPt.

Properties
**ρ**: 12.077 Mg/m³
**Magnetic moment**: 0.0 μB per formula unit
**ΔH_f (0 K)**: -0.71 eV per atom

a = 5.6350 Å, b = 5.6350 Å, c = 5.6350 Å
α = 139.92°, β = 139.92°, γ = 57.97°
Fractional positions:
La 0.0000 0.0000 0.0000
Hg 0.6871 0.6871 0.0000
Pt 0.3586 0.3586 0.0000

=====

Number 1: uncorrected energy -6.00 eV per atom. Number 2: uncorrected energy -4.60 eV per atom. Number 3: uncorrected energy -4.69 eV per atom. Number 4: uncorrected energy -4.72 eV per atom. Number 5: uncorrected energy -4.83 eV per atom. Number 6: uncorrected energy -4.47 eV per atom.